Tb2GdCu4Sn2Ge2 after structural relaxation, computed with PBE.

Total DFT energy (no corrections) = -51.882 eV for the cell shown
Distance to the lowest polymorph of the same formula = 70 meV/atom

The structure in POSCAR format:
```
Tb2GdCu4Sn2Ge2
1.0
0.6759 -5.0131 6.5403
4.0397 2.4273 6.7935
-6.2163 0.9937 -5.3603
Cu Gd Ge Sn Tb
4 1 2 2 2
direct
0.6388 0.3248 0.3139 Cu
0.9891 0.6752 0.3139 Cu
0.0109 0.3248 0.6861 Cu
0.3612 0.6752 0.6861 Cu
0.0000 0.0000 0.0000 Gd
0.2170 0.2170 0.0000 Ge
0.7830 0.7830 0.0000 Ge
0.7004 0.5000 0.2004 Sn
0.2996 0.5000 0.7996 Sn
0.6364 0.1364 0.5000 Tb
0.3636 0.8636 0.5000 Tb
```